The following is a PBE calculation of a geometry-optimized CeGa2Ir structure, from Alexandria via LeMat-Bulk.

ΔH_f (0 K), meV per atom: -612.4

a b c (Å): 4.265 4.265 5.618
angles (deg): 67.69 67.69 60.00
Site moments in Bohr magnetons follow the coordinates.
Fractional positions:
Ga (0.784, 0.784, 0.647)  0.01
Ce (0.000, 0.000, 0.000)  0.39
Ga (0.216, 0.216, 0.353)  0.01
Ir (0.500, 0.500, 0.500)  0.00

***

The following is a PBE calculation of a geometry-optimized Be2CrHg structure, from Alexandria via LeMat-Bulk.

ΔH_f (0 K), meV per atom: 425.2

a b c (Å): 2.882 2.882 6.306
angles (deg): 90.00 90.00 90.00
Site moments in Bohr magnetons follow the coordinates.
Fractional positions:
Be (0.500, 0.500, 0.226)  -0.04
Cr (0.000, 0.000, 0.441)  2.76
Be (0.000, 0.000, 0.058)  -0.01
Hg (0.500, 0.500, 0.774)  -0.02

***

The following is a PBE calculation of a geometry-optimized Mg2MnV3S8 structure, from Alexandria via LeMat-Bulk.

Energy relative to the elements, uncorrected, meV per atom: -936.2

a b c (Å): 7.221 7.287 7.218
angles (deg): 60.33 59.98 60.30
Site moments in Bohr magnetons follow the coordinates.
Fractional positions:
V (0.000, 0.500, 0.500)  1.89
S (0.738, 0.737, 0.739)  -0.05
S (0.262, 0.263, 0.262)  -0.05
S (0.261, 0.263, 0.714)  -0.05
V (0.500, 0.500, 0.500)  1.89
Mn (0.500, 0.000, 0.500)  3.70
S (0.739, 0.737, 0.286)  -0.05
Mg (0.126, 0.122, 0.126)  0.01
S (0.286, 0.737, 0.739)  -0.05
S (0.738, 0.285, 0.738)  -0.07
V (0.500, 0.500, 0.000)  1.89
S (0.714, 0.263, 0.261)  -0.05
Mg (0.874, 0.878, 0.874)  0.01
S (0.261, 0.715, 0.262)  -0.07

***

| no. | raw total energy (eV per atom) |
| --- | --- |
| 1 | -5.82 |
| 2 | -3.92 |
| 3 | -6.13 |